The following is a PBE calculation of crystalline TbBiBr6 at its relaxed geometry, from Alexandria.

Values from the calculation:
- formation energy without anion corrections (eV/f.u.) = -10.1
- space-group type = C2/m
- density of states at the Fermi level (states/eV/atom) = 0.0000
- calculated total energy (eV/atom) = -3.583

Cell: 7.6559 7.6559 7.0643 Å, 97.87 97.87 125.07°
Element x y z (fractional)
Tb: 0.0000 0.0000 0.0000
Bi: 0.5000 0.5000 0.5000
Br: 0.1012 0.3893 0.2455
Br: 0.2474 0.2474 0.7538
Br: 0.3893 0.1012 0.2455
Br: 0.6107 0.8988 0.7545
Br: 0.7526 0.7526 0.2462
Br: 0.8988 0.6107 0.7545


The following is a PBE calculation of crystalline Tb3Ho4Tm5 at its relaxed geometry, from Alexandria.

Values from the calculation:
- formation energy (kJ per mole of atoms) = 24.1
- offset from the most stable computed form (eV per atom) = 0.229
- space-group type = C2/m
- density of states at the Fermi level (states/eV/atom) = 1.5859
- calculated total energy (eV/atom) = -4.296

Cell: 8.4163 8.4163 9.1742 Å, 114.67 114.67 40.38°
Element x y z (fractional)
Tb: 0.0000 0.0000 0.0000
Tb: 0.2907 0.2907 0.7670
Tb: 0.7093 0.7093 0.2330
Ho: 0.2881 0.2881 0.1216
Ho: 0.4188 0.4188 0.5594
Ho: 0.5812 0.5812 0.4406
Ho: 0.7119 0.7119 0.8784
Tm: 0.0727 0.0727 0.6986
Tm: 0.1726 0.1726 0.3863
Tm: 0.5000 0.5000 0.0000
Tm: 0.8274 0.8274 0.6137
Tm: 0.9274 0.9274 0.3014


The following is a PBE calculation of crystalline Rb2TbAg2Br6 at its relaxed geometry, from Alexandria.

Values from the calculation:
- formation energy without anion corrections (eV/f.u.) = -13.6
- space-group type = C2/m
- density of states at the Fermi level (states/eV/atom) = 0.1902
- calculated total energy (eV/atom) = -3.266

Cell: 7.8845 7.8845 8.7984 Å, 114.87 114.87 63.71°
Element x y z (fractional)
Rb: 0.2144 0.2144 0.1593
Rb: 0.7856 0.7856 0.8407
Tb: 0.0000 0.0000 0.5000
Ag: 0.4485 0.4485 0.8220
Ag: 0.5515 0.5515 0.1780
Br: 0.1694 0.7040 0.2311
Br: 0.2259 0.2259 0.5562
Br: 0.2960 0.8306 0.7689
Br: 0.7040 0.1694 0.2311
Br: 0.7741 0.7741 0.4438
Br: 0.8306 0.2960 0.7689


The following is a PBE calculation of crystalline CsGaSe2 at its relaxed geometry, from Alexandria.

Values from the calculation:
- formation energy without anion corrections (eV/f.u.) = -2.4
- space-group type = P3m1
- density of states at the Fermi level (states/eV/atom) = 0.0000
- calculated total energy (eV/atom) = -3.311

Cell: 3.9879 3.9879 8.8226 Å, 90.00 90.00 120.00°
Element x y z (fractional)
Cs: 0.0000 0.0000 0.0000
Ga: 0.6667 0.3333 0.5449
Se: 0.0000 0.0000 0.3949
Se: 0.3333 0.6667 0.7122